9
Lattice="-2.205 3.697 6.457 2.205 -3.697 6.457 2.205 3.697 -6.457" Properties=species:S:1:pos:R:3 comment="AcEr2Ga6 GGA-PBE optimized geometry" dos_at_fermi_per_ev_cell=3.528 spacegroup="Immm (71)" de_polymorph_ev_per_fu=0.71 delta_e_f_mev_per_atom=-494 crystal_system=orthorhombic total_energy_ry_per_atom=-0.29270 pbc="T T T"
Ac 0.000 0.000 0.000
Er 2.205 0.000 4.819
Er 0.000 3.697 1.637
Ga 2.205 1.511 -2.421
Ga 2.205 2.428 0.000
Ga 2.205 1.511 2.421
Ga 0.000 2.186 4.035
Ga 0.000 1.269 6.457
Ga 0.000 2.186 8.878